(1)
Material: KAc3Se4O12
Method: DFT, GGA-PBE
State: relaxed

Unit cell a=8.0547 b=8.0547 c=8.0547 alpha=106.17 beta=106.17 gamma=106.17
With the nearest neighbours (Å) after each atom.
Element x y z (fractional)
K: 0.0000 0.0000 0.0000  6 O 3.30
Ac: 0.0000 0.5574 0.4426  6 O 2.36-2.62
Ac: 0.4426 0.0000 0.5574  6 O 2.36-2.62
Ac: 0.5574 0.4426 0.0000  6 O 2.36-2.62
Se: 0.0566 0.5000 0.9434  2 O 1.73
Se: 0.5000 0.5000 0.5000  3 O 1.90
Se: 0.5000 0.9434 0.0566  2 O 1.73
Se: 0.9434 0.0566 0.5000  2 O 1.73
O: 0.0683 0.6219 0.7975  1 Se 1.73
O: 0.1207 0.8793 0.5000  1 Se 2.28, 2 Ac 2.36
O: 0.2025 0.3781 0.9317  1 Se 1.73
O: 0.3525 0.6475 0.5000  1 Se 1.90
O: 0.3781 0.9317 0.2025  1 Se 1.73
O: 0.5000 0.1207 0.8793  1 Se 2.28, 2 Ac 2.36
O: 0.5000 0.3525 0.6475  1 Se 1.90
O: 0.6219 0.7975 0.0683  1 Se 1.73
O: 0.6475 0.5000 0.3525  1 Se 1.90
O: 0.7975 0.0683 0.6219  1 Se 1.73
O: 0.8793 0.5000 0.1207  1 Se 2.28, 2 Ac 2.36
O: 0.9317 0.2025 0.3781  1 Se 1.73

Results
- ΔE_f (raw) (meV/atom) = -1578
- space group = R32
- total magnetization (μB/atom) = 0.00
- volume (Å³ per atom) = 22.23
- electronic total energy (eV per atom) = -5.921

(2)
Material: Ga2PbSe
Method: DFT, GGA-PBE
State: relaxed

Unit cell a=8.2630 b=8.2630 c=8.2630 alpha=26.46 beta=26.46 gamma=26.46
With the nearest neighbours (Å) after each atom.
Element x y z (fractional)
Ga: 0.0000 0.0000 0.0000  3 Se 2.73
Ga: 0.1940 0.1940 0.1940  3 Se 2.76
Pb: 0.4287 0.4287 0.4287  6 Ga 3.16-3.21
Se: 0.5981 0.5981 0.5981  6 Ga 2.73-2.76

Results
- ΔE_f (raw) (meV/atom) = -109
- space group = R3m
- offset from the most stable computed form (meV per atom) = 9.2
- total magnetization (μB/atom) = 0.00
- volume (Å³ per atom) = 24.69
- electronic total energy (eV per atom) = -3.421

(3)
Material: Ba2TePt
Method: DFT, GGA-PBE
State: relaxed

Unit cell a=6.9258 b=6.9258 c=6.9258 alpha=139.95 beta=139.95 gamma=57.93
With the nearest neighbours (Å) after each atom.
Element x y z (fractional)
Ba: 0.0000 0.0000 0.0000  4 Te 3.35
Ba: 0.7500 0.2500 0.5000  4 Pt 3.35
Te: 0.5000 0.5000 0.0000  4 Ba 3.35
Pt: 0.2500 0.7500 0.5000  4 Ba 3.35

Results
- ΔE_f (raw) (meV/atom) = -912
- space group = I-4m2
- total magnetization (μB/atom) = 0.00
- volume (Å³ per atom) = 34.08
- electronic total energy (eV per atom) = -4.169

(4)
Material: Sr2InAg3
Method: DFT, GGA-PBE
State: relaxed

Unit cell a=9.7983 b=9.4171 c=6.3818 alpha=73.87 beta=67.40 gamma=38.73
With the nearest neighbours (Å) after each atom.
Element x y z (fractional)
Sr: 0.2446 0.7554 0.7554  10 Ag 3.46-3.51, 2 In 3.52
Sr: 0.2500 0.2500 0.2500  4 In 3.49, 8 Ag 3.49
Sr: 0.7500 0.7500 0.7500  4 In 3.49, 8 Ag 3.49
Sr: 0.7554 0.2446 0.2446  10 Ag 3.46-3.51, 2 In 3.52
In: 0.3329 0.3329 0.6671  3 Ag 2.83
In: 0.6671 0.6671 0.3329  3 Ag 2.83
Ag: 0.1662 0.1662 0.8338  1 In 2.83, 2 Ag 2.83
Ag: 0.1674 0.6659 0.3341  1 In 2.83, 2 Ag 2.83
Ag: 0.3341 0.8326 0.1674  1 In 2.83, 2 Ag 2.83
Ag: 0.6659 0.1674 0.8326  1 In 2.83, 2 Ag 2.83
Ag: 0.8326 0.3341 0.6659  1 In 2.83, 2 Ag 2.83
Ag: 0.8338 0.8338 0.1662  1 In 2.83, 2 Ag 2.83

Results
- space group = Fmmm
- offset from the most stable computed form (meV per atom) = 29.4
- total magnetization (μB/atom) = 0.00
- volume (Å³ per atom) = 28.33
- DFT formation energy (meV per atom) = -296
- electronic total energy (eV per atom) = -2.738

(5)
Material: CuGe3Ru
Method: DFT, GGA-PBE
State: relaxed

Unit cell a=4.7788 b=4.7788 c=4.7788 alpha=90.00 beta=90.00 gamma=90.00
With the nearest neighbours (Å) after each atom.
Element x y z (fractional)
Cu: 0.0000 0.0000 0.0000  12 Ge 3.38
Ge: 0.0000 0.5000 0.5000  2 Ru 2.39
Ge: 0.5000 0.0000 0.5000  2 Ru 2.39
Ge: 0.5000 0.5000 0.0000  2 Ru 2.39
Ru: 0.5000 0.5000 0.5000  6 Ge 2.39

Results
- space group = Pm-3m
- offset from the most stable computed form (meV per atom) = 0.0
- total magnetization (μB/atom) = 0.00
- volume (Å³ per atom) = 21.83
- DFT formation energy (meV per atom) = 489
- electronic total energy (eV per atom) = -4.956

(6)
Material: AcMg8AlZn2
Method: DFT, GGA-PBE
State: relaxed

Unit cell a=5.2315 b=5.2315 c=11.9740 alpha=102.60 beta=102.60 gamma=66.56
With the nearest neighbours (Å) after each atom.
Element x y z (fractional)
Ac: 0.0000 0.0000 0.0000  6 Zn 3.20-3.39, 2 Mg 3.40
Mg: 0.2267 0.7299 0.7033  1 Zn 2.78, 3 Mg 2.85-3.10, 1 Al 2.87
Mg: 0.2701 0.7733 0.2967  1 Zn 2.78, 3 Mg 2.85-3.10, 1 Al 2.87
Mg: 0.2797 0.2797 0.8487  2 Zn 2.90, 4 Mg 3.10-3.12
Mg: 0.3216 0.3216 0.4592  3 Al 2.98-3.24, 7 Mg 3.02-3.27
Mg: 0.6784 0.6784 0.5408  3 Al 2.98-3.24, 7 Mg 3.02-3.27
Mg: 0.7203 0.7203 0.1513  2 Zn 2.90, 4 Mg 3.10-3.12
Mg: 0.7299 0.2267 0.7033  1 Zn 2.78, 3 Mg 2.85-3.10, 1 Al 2.87
Mg: 0.7733 0.2701 0.2967  1 Zn 2.78, 3 Mg 2.85-3.10, 1 Al 2.87
Al: 0.0000 0.0000 0.5000  6 Mg 2.87-2.98
Zn: 0.3770 0.3770 0.0993  4 Mg 2.78-2.90
Zn: 0.6230 0.6230 0.9007  4 Mg 2.78-2.90

Results
- space group = C2/m
- total magnetization (μB/atom) = 0.00
- volume (Å³ per atom) = 24.19
- DFT formation energy (meV per atom) = 9
- electronic total energy (eV per atom) = -1.921

(7)
Material: PmZn3Au
Method: DFT, GGA-PBE
State: relaxed

Unit cell a=5.6831 b=5.4617 c=6.1887 alpha=90.00 beta=91.34 gamma=90.00
With the nearest neighbours (Å) after each atom.
Element x y z (fractional)
Pm: 0.1564 0.2500 0.1692  4 Au 3.06-3.14, 7 Zn 3.07-3.38
Pm: 0.8436 0.7500 0.8308  4 Au 3.06-3.14, 7 Zn 3.07-3.38
Zn: 0.0649 0.7500 0.3833  1 Au 2.70, 4 Zn 2.70-2.71
Zn: 0.3473 0.0063 0.6602  5 Zn 2.66-2.80, 2 Au 2.74-2.82
Zn: 0.3473 0.4937 0.6602  5 Zn 2.66-2.80, 2 Au 2.74-2.82
Zn: 0.6527 0.5063 0.3398  5 Zn 2.66-2.80, 2 Au 2.74-2.82
Zn: 0.6527 0.9937 0.3398  5 Zn 2.66-2.80, 2 Au 2.74-2.82
Zn: 0.9351 0.2500 0.6167  1 Au 2.70, 4 Zn 2.70-2.71
Au: 0.3518 0.7500 0.0414  5 Zn 2.70-2.82
Au: 0.6482 0.2500 0.9586  5 Zn 2.70-2.82

Results
- space group = P2_1/m
- offset from the most stable computed form (meV per atom) = 16.7
- total magnetization (μB/atom) = 0.00
- volume (Å³ per atom) = 19.20
- DFT formation energy (meV per atom) = -416
- electronic total energy (eV per atom) = -2.786

(8)
Material: TlGaAg2S4
Method: DFT, GGA-PBE
State: relaxed

Unit cell a=6.9894 b=6.9894 c=6.9894 alpha=130.35 beta=130.35 gamma=72.85
With the nearest neighbours (Å) after each atom.
Element x y z (fractional)
Tl: 0.0000 0.0000 0.0000  4 S 2.59
Ga: 0.7500 0.2500 0.5000  4 S 2.32
Ag: 0.2500 0.7500 0.5000  4 S 2.58
Ag: 0.5000 0.5000 0.0000  4 S 2.55
S: 0.0994 0.1371 0.5056  1 Ga 2.32, 2 Ag 2.55-2.58, 1 Tl 2.59
S: 0.4062 0.9006 0.0377  1 Ga 2.32, 2 Ag 2.55-2.58, 1 Tl 2.59
S: 0.6315 0.5938 0.4944  1 Ga 2.32, 2 Ag 2.55-2.58, 1 Tl 2.59
S: 0.8629 0.3685 0.9623  1 Ga 2.32, 2 Ag 2.55-2.58, 1 Tl 2.59

Results
- ΔE_f (raw) (meV/atom) = -321
- space group = I-4
- total magnetization (μB/atom) = 0.00
- volume (Å³ per atom) = 24.22
- electronic total energy (eV per atom) = -3.772

What did the eighth record say?
Material: TlGaAg2S4
Method: DFT, GGA-PBE
State: relaxed

Unit cell a=6.9894 b=6.9894 c=6.9894 alpha=130.35 beta=130.35 gamma=72.85
With the nearest neighbours (Å) after each atom.
Element x y z (fractional)
Tl: 0.0000 0.0000 0.0000  4 S 2.59
Ga: 0.7500 0.2500 0.5000  4 S 2.32
Ag: 0.2500 0.7500 0.5000  4 S 2.58
Ag: 0.5000 0.5000 0.0000  4 S 2.55
S: 0.0994 0.1371 0.5056  1 Ga 2.32, 2 Ag 2.55-2.58, 1 Tl 2.59
S: 0.4062 0.9006 0.0377  1 Ga 2.32, 2 Ag 2.55-2.58, 1 Tl 2.59
S: 0.6315 0.5938 0.4944  1 Ga 2.32, 2 Ag 2.55-2.58, 1 Tl 2.59
S: 0.8629 0.3685 0.9623  1 Ga 2.32, 2 Ag 2.55-2.58, 1 Tl 2.59

Results
- ΔE_f (raw) (meV/atom) = -321
- space group = I-4
- total magnetization (μB/atom) = 0.00
- volume (Å³ per atom) = 24.22
- electronic total energy (eV per atom) = -3.772